DyNi3 | PBE | optimized geometry

CIF file:
```
data_DyNi3
_chemical_formula_sum 'Dy1 Ni3'
_symmetry_space_group_name_H-M 'P m -3 m'
_symmetry_Int_Tables_number 221
_symmetry_space_group_name_Hall '-P 4 2 3'
_cell_length_a 3.848
_cell_length_b 3.848
_cell_length_c 3.848
_cell_angle_alpha 90.00
_cell_angle_beta 90.00
_cell_angle_gamma 90.00
loop_
_atom_site_label
_atom_site_fract_x
_atom_site_fract_y
_atom_site_fract_z
Dy1 0.000 0.000 0.000
Ni1 0.000 0.500 0.500
```

Fermi-level density of states = 4.64 states/eV/cell
crystal system = cubic
calculated formation energy = -0.255 eV/atom
size of the total moment = 0.545 μB/f.u.